The following is a PBE calculation of an optimized crystal structure of Rb4CdAg3Cl12, from Alexandria.

```
Rb4CdAg3Cl12
1.0
-5.188 5.188 5.188
5.188 -5.188 5.188
5.188 5.188 -5.188
Rb Cd Ag Cl
4 1 3 12
Direct
0.000 0.000 0.500 Rb
0.000 0.500 0.000 Rb
0.500 0.000 0.000 Rb
0.500 0.500 0.500 Rb
0.000 0.000 0.000 Cd
0.000 0.500 0.500 Ag
0.500 0.000 0.500 Ag
0.500 0.500 0.000 Ag
0.000 0.251 0.251 Cl
0.000 0.749 0.749 Cl
0.250 0.500 0.750 Cl
0.250 0.750 0.500 Cl
0.251 0.000 0.251 Cl
0.251 0.251 0.000 Cl
0.500 0.250 0.750 Cl
0.500 0.750 0.250 Cl
0.749 0.000 0.749 Cl
0.749 0.749 0.000 Cl
0.750 0.250 0.500 Cl
0.750 0.500 0.250 Cl
```

Values from the calculation:
Space group   Im-3m
E_form (uncorrected)   -1.13 eV per atom
Energy   -2.909 eV per atom

=====

The following is a PBE calculation of an optimized crystal structure of Rb2CdAgCl6, from Alexandria.

```
Rb2CdAgCl6
1.0
7.571 0.000 0.000
0.000 7.404 0.000
-7.348 0.000 10.289
Rb Cd Ag Cl
4 2 2 12
Direct
0.246 0.024 0.249 Rb
0.246 0.476 0.749 Rb
0.754 0.524 0.251 Rb
0.754 0.976 0.751 Rb
0.000 0.000 0.500 Cd
0.000 0.500 0.000 Cd
0.500 0.000 0.000 Ag
0.500 0.500 0.500 Ag
0.180 0.240 0.972 Cl
0.180 0.260 0.472 Cl
0.257 0.734 0.975 Cl
0.257 0.766 0.475 Cl
0.315 0.009 0.760 Cl
0.315 0.491 0.260 Cl
0.685 0.509 0.740 Cl
0.685 0.991 0.240 Cl
0.743 0.234 0.525 Cl
0.743 0.266 0.025 Cl
0.820 0.740 0.528 Cl
0.820 0.760 0.028 Cl
```

Values from the calculation:
Space group   P2_1/c
E_form (uncorrected)   -1.22 eV per atom
Energy   -2.894 eV per atom

=====

The following is a PBE calculation of an optimized crystal structure of RbCdAg2Cl6, from Alexandria.

```
RbCdAg2Cl6
1.0
5.841 -7.668 0.000
5.841 7.668 0.000
-4.040 0.000 7.521
Rb Cd Ag Cl
2 2 4 12
Direct
0.113 0.887 0.750 Rb
0.887 0.113 0.250 Rb
0.194 0.806 0.250 Cd
0.806 0.194 0.750 Cd
0.300 0.453 0.842 Ag
0.453 0.300 0.342 Ag
0.547 0.700 0.658 Ag
0.700 0.547 0.158 Ag
0.056 0.208 0.689 Cl
0.147 0.636 0.948 Cl
0.208 0.056 0.189 Cl
0.316 0.441 0.527 Cl
0.364 0.853 0.552 Cl
0.441 0.316 0.027 Cl
0.559 0.684 0.973 Cl
0.636 0.147 0.448 Cl
0.684 0.559 0.473 Cl
0.792 0.944 0.811 Cl
0.853 0.364 0.052 Cl
0.944 0.792 0.311 Cl
```

Values from the calculation:
Space group   C2/c
E_form (uncorrected)   -0.90 eV per atom
Energy   -2.763 eV per atom

=====

The following is a PBE calculation of an optimized crystal structure of RbCdAgCl4, from Alexandria.

```
RbCdAgCl4
1.0
6.763 0.000 0.000
0.000 7.438 0.000
-1.987 0.000 8.697
Rb Cd Ag Cl
2 2 2 8
Direct
0.232 0.250 0.047 Rb
0.768 0.750 0.953 Rb
0.256 0.750 0.330 Cd
0.744 0.250 0.670 Cd
0.134 0.250 0.509 Ag
0.866 0.750 0.491 Ag
0.022 0.007 0.709 Cl
0.022 0.493 0.709 Cl
0.340 0.750 0.075 Cl
0.484 0.250 0.430 Cl
0.516 0.750 0.570 Cl
0.660 0.250 0.925 Cl
0.978 0.507 0.291 Cl
0.978 0.993 0.291 Cl
```

Values from the calculation:
Space group   P2_1/m
E_form (uncorrected)   -1.13 eV per atom
Energy   -2.866 eV per atom

=====

The following is a PBE calculation of an optimized crystal structure of RbCdAgCl6, from Alexandria.

```
RbCdAgCl6
1.0
6.773 0.000 0.000
-3.386 5.865 0.000
0.000 0.000 7.308
Rb Cd Ag Cl
1 1 1 6
Direct
0.000 0.000 0.000 Rb
0.667 0.333 0.500 Cd
0.333 0.667 0.500 Ag
0.013 0.381 0.297 Cl
0.013 0.632 0.703 Cl
0.368 0.381 0.703 Cl
0.368 0.987 0.297 Cl
0.619 0.632 0.297 Cl
0.619 0.987 0.703 Cl
```

Values from the calculation:
Space group   P312
E_form (uncorrected)   -0.87 eV per atom
Energy   -2.623 eV per atom

=====

The following is a PBE calculation of an optimized crystal structure of Rb3Cd2AgCl9, from Alexandria.

```
Rb3Cd2AgCl9
1.0
7.418 0.000 0.000
-3.709 6.424 0.000
0.000 0.000 9.106
Rb Cd Ag Cl
3 2 1 9
Direct
0.000 0.000 0.000 Rb
0.333 0.667 0.663 Rb
0.667 0.333 0.337 Rb
0.333 0.667 0.170 Cd
0.667 0.333 0.830 Cd
0.000 0.000 0.500 Ag
0.000 0.500 0.000 Cl
0.167 0.333 0.335 Cl
0.167 0.833 0.335 Cl
0.333 0.167 0.665 Cl
0.500 0.000 0.000 Cl
0.500 0.500 0.000 Cl
0.667 0.833 0.335 Cl
0.833 0.167 0.665 Cl
0.833 0.667 0.665 Cl
```

Values from the calculation:
Space group   P-3m1
E_form (uncorrected)   -1.28 eV per atom
Energy   -2.897 eV per atom